Pm2Zn5Ge3 | PBE | optimized geometry

```
10
Lattice="4.353 0.000 0.000 0.000 4.353 0.000 0.000 0.000 10.304" Properties=species:S:1:pos:R:3 pbc="T T T"
Pm 2.176 0.000 2.499
Pm 0.000 2.176 7.805
Zn 2.176 2.176 0.000
Zn 0.000 0.000 0.000
Zn 2.176 0.000 9.049
Zn 0.000 2.176 1.255
Zn 2.176 2.176 5.152
Ge 2.176 0.000 6.630
Ge 0.000 2.176 3.674
Ge 0.000 0.000 5.152
```

Summary:
- symmetry = P-4m2 (115)
- calculated density (g/cm3) = 7.1

PmZn4Ge | PBE | optimized geometry

```
6
Lattice="-1.739 2.241 4.624 -4.944 -1.181 1.895 -0.541 -3.047 4.455" Properties=species:S:1:pos:R:3 pbc="T T T"
Ge -1.806 -0.497 2.743
Zn -4.241 0.274 4.636
Zn -2.052 -0.653 5.909
Zn -4.510 -1.240 6.851
Zn -3.645 -2.354 4.552
Pm 0.000 0.000 0.000
```

Summary:
- symmetry = F-43m (216)
- calculated density (g/cm3) = 7.1

Calculated formation energy for every record listed, in sequence, given in meV per atom: -308 -118.